# Li2CdAg2Sn2 GGA-PBE relaxed
data_Li2CdAg2Sn2
_cell_length_a 8.257
_cell_length_b 4.820
_cell_length_c 8.047
_cell_angle_alpha 90.00
_cell_angle_beta 117.94
_cell_angle_gamma 90.00
_space_group_name_H-M_alt 'C 1 2/m 1'
_space_group_IT_number 12
loop_
_space_group_symop_operation_xyz
'x,y,z'
'-x,-y,-z'
'-x,y,-z'
'x,-y,z'
'x+1/2,y+1/2,z'
'-x+1/2,-y+1/2,-z'
'-x+1/2,y+1/2,-z'
'x+1/2,-y+1/2,z'
loop_
_atom_site_label
_atom_site_type_symbol
_atom_site_fract_x
_atom_site_fract_y
_atom_site_fract_z
Li1 Li 0.131 0.000 0.417
Cd1 Cd 0.000 0.000 0.000
Ag1 Ag 0.207 0.500 0.190
Sn1 Sn 0.086 0.500 0.719
# DFT total energy = -2.81 eV per atom
# energy of formation from the pure elements = -0.175 eV/atom